Record 1
The following is a PBE calculation of a geometry-optimized CeDyNi2 structure, from Alexandria via LeMat-Bulk.

Summary:
Distance to the lowest polymorph of the same formula: 0.1442 eV per atom
Size of the total moment: 0.00 μB/f.u.
E_form: -24.00 kJ/mol of atoms

```
CeDyNi2
1.0
3.883 0.000 0.000
-1.941 3.363 0.000
0.000 0.000 19.607
Ce Dy Ni
3 3 6
Direct
0.000 0.000 0.000
0.333 0.667 0.667
0.667 0.333 0.333
0.000 0.000 0.500
0.333 0.667 0.167
0.667 0.333 0.833
0.000 0.000 0.253
0.000 0.000 0.747
0.333 0.667 0.413
0.333 0.667 0.920
0.667 0.333 0.080
0.667 0.333 0.587
```

---

Record 2
The following is a PBE calculation of a geometry-optimized Ac2La6Pm structure, from Alexandria via LeMat-Bulk.

Summary:
Distance to the lowest polymorph of the same formula: 0.0062 eV per atom
Size of the total moment: 0.00 μB/f.u.
E_form: 6.28 kJ/mol of atoms

```
Ac2La6Pm
1.0
3.795 0.000 0.000
-1.897 3.286 0.000
0.000 0.000 28.013
Ac La Pm
2 6 1
Direct
0.000 0.000 0.171
0.000 0.000 0.829
0.000 0.000 0.395
0.000 0.000 0.605
0.667 0.333 0.061
0.667 0.333 0.286
0.667 0.333 0.714
0.667 0.333 0.939
0.667 0.333 0.500
```